Compound: NiAuO2
Source: Alexandria via LeMat-Bulk
Functional: PBE with a Hubbard U
Structure: relaxed

## Properties
- size of the total moment (μB per atom) = 0.72
- raw total energy (eV per atom) = -3.339

Lattice parameters (Å, degrees): 5.6243 5.6243 5.6243 90.00 90.00 90.00
With the nearest neighbours (Å) after each atom.
Space group Fm-3m (No. 225)
Symmetry-distinct sites (fractional):
1 Ni 0.0000 0.0000 0.0000  8 O 2.44
2 Au 0.0000 0.0000 0.5000  8 O 2.44
3 O 0.2500 0.2500 0.2500  4 Ni 2.44, 4 Au 2.44